Record 1
A plane-wave DFT calculation with PBE was carried out for LiSc2Al after structural relaxation.

Values from the calculation:
DOS(E_F): 0.88 states/eV per atom
Space-group type: Pmm2 (25)
Formation energy: -6.0 kJ per mole of atoms

Cell: 3.082 4.450 6.043 Å, 90.00 90.00 90.00°
Sites, in units of the cell vectors:
Li: 0.500 0.500 0.741
Sc: 0.000 0.000 0.992
Sc: 0.500 0.500 0.280
Al: 0.000 0.000 0.487


Record 2
A plane-wave DFT calculation with PBE was carried out for LiScAl after structural relaxation.

Values from the calculation:
DOS(E_F): 1.07 states/eV per atom
Space-group type: I4mm (107)
Formation energy: -13.1 kJ per mole of atoms

Cell: 6.106 6.106 3.151 Å, 75.05 75.05 29.90°
Sites, in units of the cell vectors:
Sc: 0.343 0.343 0.657
Li: 0.648 0.648 0.352
Al: 0.010 0.010 0.990


Record 3
A plane-wave DFT calculation with PBE was carried out for LiSc5Al3 after structural relaxation.

Values from the calculation:
DOS(E_F): 0.74 states/eV per atom
Space-group type: P6_3/mcm (193)
Formation energy: -29.2 kJ per mole of atoms

Cell: 6.059 8.457 8.457 Å, 120.00 90.00 90.00°
Sites, in units of the cell vectors:
Li: 0.000 0.000 0.000
Li: 0.500 0.000 0.000
Sc: 0.250 0.000 0.691
Sc: 0.500 0.333 0.667
Sc: 0.000 0.667 0.333
Sc: 0.750 0.691 0.691
Sc: 0.500 0.667 0.333
Sc: 0.000 0.333 0.667
Sc: 0.250 0.691 0.000
Sc: 0.750 0.000 0.309
Sc: 0.250 0.309 0.309
Sc: 0.750 0.309 0.000
Al: 0.250 0.646 0.646
Al: 0.250 0.354 0.000
Al: 0.750 0.354 0.354
Al: 0.750 0.000 0.646
Al: 0.750 0.646 0.000
Al: 0.250 0.000 0.354


Record 4
A plane-wave DFT calculation with PBE was carried out for LiSc2Al after structural relaxation.

Values from the calculation:
DOS(E_F): 0.89 states/eV per atom
Space-group type: Pm (6)
Formation energy: -12.5 kJ per mole of atoms

Cell: 4.613 3.153 5.851 Å, 74.74 90.00 90.00°
Sites, in units of the cell vectors:
Sc: 0.000 0.956 0.964
Sc: 0.500 0.291 0.291
Li: 0.500 0.563 0.753
Al: 0.000 0.689 0.492


Record 5
A plane-wave DFT calculation with PBE was carried out for LiScAl after structural relaxation.

Values from the calculation:
DOS(E_F): 0.58 states/eV per atom
Space-group type: P3m1 (156)
Formation energy: -21.6 kJ per mole of atoms

Cell: 4.726 4.726 5.897 Å, 90.00 90.00 120.00°
Sites, in units of the cell vectors:
Li: 0.667 0.333 0.595
Li: 0.000 0.000 0.434
Al: 0.333 0.667 0.749
Al: 0.667 0.333 0.104
Sc: 0.333 0.667 0.256
Sc: 0.000 0.000 0.925


Record 6
A plane-wave DFT calculation with PBE was carried out for Li2ScAl after structural relaxation.

Values from the calculation:
DOS(E_F): 0.65 states/eV per atom
Space-group type: P4mm (99)
Formation energy: -10.2 kJ per mole of atoms

Cell: 3.047 3.047 8.275 Å, 90.00 90.00 90.00°
Sites, in units of the cell vectors:
Sc: 0.000 0.000 0.524
Li: 0.500 0.500 0.226
Li: 0.000 0.000 0.980
Al: 0.500 0.500 0.769


Record 7
A plane-wave DFT calculation with PBE was carried out for Li2Sc2Al after structural relaxation.

Values from the calculation:
DOS(E_F): 0.67 states/eV per atom
Space-group type: P4/mbm (127)
Formation energy: 2.5 kJ per mole of atoms

Cell: 6.633 6.633 4.404 Å, 90.00 90.00 90.00°
Sites, in units of the cell vectors:
Sc: 0.691 0.809 0.500
Sc: 0.309 0.191 0.500
Sc: 0.809 0.309 0.500
Sc: 0.191 0.691 0.500
Li: 0.375 0.875 0.000
Li: 0.125 0.375 0.000
Li: 0.625 0.125 0.000
Li: 0.875 0.625 0.000
Al: 0.500 0.500 0.000
Al: 0.000 0.000 0.000


Record 8
A plane-wave DFT calculation with PBE was carried out for Li2ScAl after structural relaxation.

Values from the calculation:
DOS(E_F): 0.33 states/eV per atom
Space-group type: C2/m (12)
Formation energy: -10.0 kJ per mole of atoms

Cell: 5.194 5.194 5.105 Å, 82.55 82.55 33.92°
Sites, in units of the cell vectors:
Li: 0.511 0.511 0.478
Li: 0.989 0.989 0.022
Sc: 0.750 0.750 0.750
Al: 0.250 0.250 0.250


Record 9
A plane-wave DFT calculation with PBE was carried out for LiSc2Al9 after structural relaxation.

Values from the calculation:
DOS(E_F): 0.27 states/eV per atom
Space-group type: P4/mmm (123)
Formation energy: -32.3 kJ per mole of atoms

Cell: 4.082 4.082 12.216 Å, 90.00 90.00 90.00°
Sites, in units of the cell vectors:
Al: 0.500 0.000 0.841
Al: 0.500 0.500 0.330
Al: 0.500 0.500 0.670
Al: 0.000 0.500 0.500
Al: 0.000 0.500 0.159
Al: 0.500 0.000 0.159
Al: 0.000 0.500 0.841
Al: 0.500 0.500 0.000
Al: 0.500 0.000 0.500
Sc: 0.000 0.000 0.668
Sc: 0.000 0.000 0.332
Li: 0.000 0.000 0.000


Record 10
A plane-wave DFT calculation with PBE was carried out for LiSc2Al after structural relaxation.

Values from the calculation:
DOS(E_F): 1.08 states/eV per atom
Space-group type: Immm (71)
Formation energy: 31.7 kJ per mole of atoms

Cell: 6.503 6.503 6.503 Å, 153.39 54.61 133.24°
Sites, in units of the cell vectors:
Li: 0.000 0.000 0.000
Al: 0.500 0.000 0.500
Sc: 0.251 0.000 0.251
Sc: 0.749 0.000 0.749


Record 11
A plane-wave DFT calculation with PBE was carried out for LiSc2Al after structural relaxation.

Values from the calculation:
DOS(E_F): 1.32 states/eV per atom
Space-group type: P4mm (99)
Formation energy: -8.2 kJ per mole of atoms

Cell: 3.124 3.124 8.284 Å, 90.00 90.00 89.99°
Sites, in units of the cell vectors:
Li: 0.500 0.500 0.715
Sc: 0.000 0.000 0.985
Sc: 0.500 0.500 0.276
Al: 0.000 0.000 0.524


Record 12
A plane-wave DFT calculation with PBE was carried out for LiScAl after structural relaxation.

Values from the calculation:
DOS(E_F): 1.61 states/eV per atom
Space-group type: F-43m (216)
Formation energy: 45.5 kJ per mole of atoms

Cell: 4.690 4.690 4.690 Å, 60.00 60.00 60.00°
Sites, in units of the cell vectors:
Al: 0.000 0.000 0.000
Sc: 0.750 0.750 0.750
Li: 0.500 0.500 0.500